No. 1
Ce4PmGe2 | PBE-GGA | relaxed

```
7
Lattice="2.645 1.527 8.408 -2.645 1.527 8.408 0.000 -3.055 8.408" Properties=species:S:1:pos:R:3 pbc="T T T"
Ce 0.000 0.000 1.405
Ce 0.000 0.000 6.874
Ce 0.000 0.000 18.351
Ce 0.000 0.000 23.819
Pm 0.000 0.000 12.612
Ge 0.000 0.000 9.760
Ge 0.000 0.000 15.464
```

Computed properties:
The energy of formation from the pure elements is -5.979 kcal/mol of atoms. The symmetry is R-3m. The value obtained for the magnetic moment is 4.41 μB per formula unit.

No. 2
CePmGe | PBE-GGA | relaxed

```
3
Lattice="4.746 0.000 0.000 -2.373 4.110 0.000 0.000 0.000 4.107" Properties=species:S:1:pos:R:3 pbc="T T T"
Ce 0.000 0.000 0.000
Pm 0.000 2.740 2.374
Ge 2.373 1.370 1.243
```

Computed properties:
The calculation puts the energy relative to the lowest polymorph listed for this composition at 351 meV per atom. The energy of formation from the pure elements is -7.183 kcal/mol of atoms. The symmetry is P3m1. The value obtained for the magnetic moment is 0.94 μB per formula unit.

No. 3
CePm4Ge4 | PBE-GGA | relaxed

```
9
Lattice="-4.728 4.728 2.993 4.728 -4.728 2.993 4.728 4.728 -2.993" Properties=species:S:1:pos:R:3 pbc="T T T"
Ce 0.000 0.000 0.000
Pm 5.668 1.851 0.000
Pm 1.851 3.787 0.000
Pm 2.876 0.941 2.993
Pm -0.941 2.876 2.993
Ge 2.759 0.950 0.000
Ge 3.778 -1.968 2.993
Ge 0.950 6.696 0.000
Ge 1.968 3.778 2.993
```

Computed properties:
The energy of formation from the pure elements is -14.003 kcal/mol of atoms. The symmetry is I4/m. The value obtained for the magnetic moment is 0.90 μB per formula unit.

No. 4
CePm2Ge | PBE-GGA | relaxed

```
12
Lattice="3.555 0.000 0.000 -1.777 3.079 0.000 0.000 0.000 33.104" Properties=species:S:1:pos:R:3 pbc="T T T"
Ce 0.000 0.000 0.000
Ce 0.000 2.052 22.070
Ce 1.777 1.026 11.035
Pm 0.000 0.000 3.356
Pm 0.000 0.000 29.749
Pm 0.000 2.052 18.714
Pm 0.000 2.052 25.425
Pm 1.777 1.026 7.679
Pm 1.777 1.026 14.390
Ge 0.000 0.000 16.552
Ge 0.000 2.052 5.517
Ge 1.777 1.026 27.587
```

Computed properties:
The calculation puts the energy relative to the lowest polymorph listed for this composition at 362 meV per atom. The energy of formation from the pure elements is 0.047 kcal/mol of atoms. The symmetry is R-3m. The value obtained for the magnetic moment is 1.14 μB per formula unit.

No. 5
Ce6PmGe4 | PBE-GGA | relaxed

```
11
Lattice="-3.894 3.894 5.367 3.894 -3.894 5.367 3.894 3.894 -5.367" Properties=species:S:1:pos:R:3 pbc="T T T"
Ce 3.894 0.000 0.000
Ce 2.842 2.842 -1.816
Ce 1.052 1.052 3.551
Ce 0.000 3.894 0.000
Ce 1.052 -1.052 7.183
Ce -1.052 1.052 7.183
Pm 0.000 0.000 0.000
Ge 1.791 -1.791 4.345
Ge 2.103 2.103 1.022
Ge -1.791 1.791 4.345
Ge 1.791 1.791 6.389
```

Computed properties:
The energy of formation from the pure elements is -8.830 kcal/mol of atoms. The symmetry is I-42m. The value obtained for the magnetic moment is 6.43 μB per formula unit.

No. 6
Ce2PmGe2Pt7 | PBE-GGA | relaxed

```
12
Lattice="2.948 -2.894 0.000 2.948 2.894 0.000 -2.112 0.000 14.014" Properties=species:S:1:pos:R:3 pbc="T T T"
Ce -0.076 0.000 5.025
Ce 3.861 0.000 8.989
Pm 0.000 0.000 0.000
Ge 0.822 0.000 10.444
Ge 2.963 0.000 3.570
Pt 1.483 1.443 2.195
Pt 1.008 0.000 7.995
Pt 2.302 1.443 11.819
Pt 2.948 0.000 0.000
Pt 1.483 -1.443 2.195
Pt 2.778 0.000 6.019
Pt 2.302 -1.443 11.819
```

Computed properties:
The energy of formation from the pure elements is -21.094 kcal/mol of atoms. The symmetry is C2/m. The value obtained for the magnetic moment is 1.78 μB per formula unit.

No. 7
Ce2PmGe3Pt4 | PBE-GGA | relaxed

```
10
Lattice="4.312 0.000 0.000 0.000 4.312 0.000 0.000 0.000 11.341" Properties=species:S:1:pos:R:3 pbc="T T T"
Ce 0.000 2.156 2.515
Ce 2.156 0.000 8.826
Pm 0.000 0.000 5.670
Ge 0.000 2.156 9.980
Ge 2.156 0.000 1.361
Ge 2.156 2.156 5.670
Pt 0.000 0.000 0.000
Pt 0.000 2.156 7.528
Pt 2.156 0.000 3.813
Pt 2.156 2.156 0.000
```

Computed properties:
The energy of formation from the pure elements is -20.476 kcal/mol of atoms. The symmetry is P-4m2. The value obtained for the magnetic moment is 1.67 μB per formula unit.

No. 8
CePm2Ge4Pt3 | PBE-GGA | relaxed

```
10
Lattice="4.308 0.000 0.000 0.000 4.308 0.000 0.000 0.000 11.542" Properties=species:S:1:pos:R:3 pbc="T T T"
Ce 0.000 0.000 0.000
Pm 0.000 2.154 8.352
Pm 2.154 0.000 3.191
Ge 0.000 0.000 5.771
Ge 0.000 2.154 1.962
Ge 2.154 0.000 9.580
Ge 2.154 2.154 5.771
Pt 0.000 2.154 4.436
Pt 2.154 0.000 7.106
Pt 2.154 2.154 0.000
```

Computed properties:
The energy of formation from the pure elements is -19.140 kcal/mol of atoms. The symmetry is P-4m2. The value obtained for the magnetic moment is 0.47 μB per formula unit.

No. 9
CePmGe2Pt2 | PBE-GGA | relaxed

```
6
Lattice="4.384 0.000 0.000 -2.192 3.796 0.000 0.000 0.000 7.721" Properties=species:S:1:pos:R:3 pbc="T T T"
Ce 0.000 0.000 0.000
Pm 0.000 0.000 3.860
Ge 0.000 2.531 1.882
Ge 2.192 1.265 5.838
Pt 0.000 2.531 5.811
Pt 2.192 1.265 1.909
```

Computed properties:
The energy of formation from the pure elements is -24.389 kcal/mol of atoms. The symmetry is P-3m1. The value obtained for the magnetic moment is 0.00 μB per formula unit.

No. 10
CePm2Ge3Rh4 | PBE-GGA | relaxed

```
10
Lattice="4.254 0.000 0.000 0.000 4.254 0.000 0.000 0.000 10.950" Properties=species:S:1:pos:R:3 pbc="T T T"
Ce 0.000 0.000 0.000
Pm 0.000 2.127 7.913
Pm 2.127 0.000 3.037
Ge 0.000 2.127 4.124
Ge 2.127 0.000 6.826
Ge 2.127 2.127 0.000
Rh 0.000 0.000 5.475
Rh 0.000 2.127 1.656
Rh 2.127 0.000 9.294
Rh 2.127 2.127 5.475
```

Computed properties:
The energy of formation from the pure elements is -19.924 kcal/mol of atoms. The symmetry is P-4m2. The value obtained for the magnetic moment is 0.00 μB per formula unit.

No. 11
CePmGe2Rh5 | PBE-GGA | relaxed

```
9
Lattice="4.221 0.000 0.000 0.000 4.221 0.000 0.000 0.000 9.012" Properties=species:S:1:pos:R:3 pbc="T T T"
Ce 0.000 0.000 0.000
Pm 0.000 0.000 4.506
Ge 2.110 2.110 1.272
Ge 2.110 2.110 7.741
Rh 0.000 2.110 2.417
Rh 0.000 2.110 6.595
Rh 2.110 0.000 2.417
Rh 2.110 0.000 6.595
Rh 2.110 2.110 4.506
```

Computed properties:
The energy of formation from the pure elements is -16.542 kcal/mol of atoms. The symmetry is P4/mmm. The value obtained for the magnetic moment is 0.11 μB per formula unit.

No. 12
CePmSnGe | PBE-GGA | relaxed

```
16
Lattice="7.532 0.000 0.000 0.000 7.532 0.000 0.000 0.000 7.532" Properties=species:S:1:pos:R:3 pbc="T T T"
Ce 0.000 0.000 0.000
Ce 0.000 3.766 3.766
Ce 3.766 0.000 3.766
Ce 3.766 3.766 0.000
Pm 0.000 0.000 3.766
Pm 0.000 3.766 0.000
Pm 3.766 0.000 0.000
Pm 3.766 3.766 3.766
Sn 1.883 1.883 1.883
Sn 1.883 5.649 5.649
Sn 5.649 1.883 5.649
Sn 5.649 5.649 1.883
Ge 1.883 1.883 5.649
Ge 1.883 5.649 1.883
Ge 5.649 1.883 1.883
Ge 5.649 5.649 5.649
```

Computed properties:
The energy of formation from the pure elements is -12.230 kcal/mol of atoms. The symmetry is F-43m. The value obtained for the magnetic moment is 1.59 μB per formula unit.

No. 13
CePmTcGe | PBE-GGA | relaxed

```
16
Lattice="7.130 0.000 0.000 0.000 7.130 0.000 0.000 0.000 7.130" Properties=species:S:1:pos:R:3 pbc="T T T"
Ce 0.000 0.000 0.000
Ce 0.000 3.565 3.565
Ce 3.565 0.000 3.565
Ce 3.565 3.565 0.000
Pm 0.000 0.000 3.565
Pm 0.000 3.565 0.000
Pm 3.565 0.000 0.000
Pm 3.565 3.565 3.565
Tc 1.783 1.783 1.783
Tc 1.783 5.348 5.348
Tc 5.348 1.783 5.348
Tc 5.348 5.348 1.783
Ge 1.783 1.783 5.348
Ge 1.783 5.348 1.783
Ge 5.348 1.783 1.783
Ge 5.348 5.348 5.348
```

Computed properties:
The energy of formation from the pure elements is -4.302 kcal/mol of atoms. The symmetry is F-43m. The value obtained for the magnetic moment is 0.00 μB per formula unit.

No. 14
CePmGeTe | PBE-GGA | relaxed

```
16
Lattice="7.528 0.000 0.000 0.000 7.528 0.000 0.000 0.000 7.528" Properties=species:S:1:pos:R:3 pbc="T T T"
Ce 0.000 0.000 0.000
Ce 0.000 3.764 3.764
Ce 3.764 0.000 3.764
Ce 3.764 3.764 0.000
Pm 0.000 0.000 3.764
Pm 0.000 3.764 0.000
Pm 3.764 0.000 0.000
Pm 3.764 3.764 3.764
Ge 1.882 1.882 5.646
Ge 1.882 5.646 1.882
Ge 5.646 1.882 1.882
Ge 5.646 5.646 5.646
Te 1.882 1.882 1.882
Te 1.882 5.646 5.646
Te 5.646 1.882 5.646
Te 5.646 5.646 1.882
```

Computed properties:
The calculation puts the energy relative to the lowest polymorph listed for this composition at 306 meV per atom. The value obtained for the uncorrected formation energy is -849 meV per atom. The symmetry is F-43m. The value obtained for the magnetic moment is 0.92 μB per formula unit.

No. 15
CePmGeTe | PBE-GGA | relaxed

```
12
Lattice="4.352 0.000 0.000 -2.176 3.769 0.000 0.000 0.000 21.718" Properties=species:S:1:pos:R:3 pbc="T T T"
Ce 0.000 0.000 0.000
Ce 0.000 2.513 14.479
Ce 2.176 1.256 7.239
Pm 0.000 0.000 10.498
Pm 0.000 2.513 3.259
Pm 2.176 1.256 17.737
Ge 0.000 0.000 16.074
Ge 0.000 2.513 8.834
Ge 2.176 1.256 1.595
Te 0.000 0.000 5.253
Te 0.000 2.513 19.732
Te 2.176 1.256 12.493
```

Computed properties:
The calculation puts the energy relative to the lowest polymorph listed for this composition at 0 meV per atom. The value obtained for the uncorrected formation energy is -1155 meV per atom. The symmetry is R3m. The value obtained for the magnetic moment is 0.68 μB per formula unit.

No. 16
Ce2PmZn2Ge2 | PBE-GGA | relaxed

```
7
Lattice="2.158 1.246 9.327 -2.158 1.246 9.327 0.000 -2.492 9.327" Properties=species:S:1:pos:R:3 pbc="T T T"
Ce 0.000 0.000 3.977
Ce 0.000 0.000 24.002
Pm 0.000 0.000 0.000
Zn 0.000 0.000 11.412
Zn 0.000 0.000 16.568
Ge 0.000 0.000 7.392
Ge 0.000 0.000 20.588
```

Computed properties:
The energy of formation from the pure elements is -10.091 kcal/mol of atoms. The symmetry is R-3m. The value obtained for the magnetic moment is 1.93 μB per formula unit.

No. 17
Ce2Pm2ZnGe4 | PBE-GGA | relaxed

```
9
Lattice="-3.531 3.531 4.360 3.531 -3.531 4.360 3.531 3.531 -4.360" Properties=species:S:1:pos:R:3 pbc="T T T"
Ce 0.000 0.000 1.599
Ce 0.000 0.000 7.122
Pm 3.531 0.000 2.180
Pm 0.000 3.531 2.180
Zn 0.000 0.000 4.360
Ge 1.804 1.804 0.000
Ge 1.727 -1.727 4.360
Ge -1.727 1.727 4.360
Ge 1.727 1.727 4.360
```

Computed properties:
The energy of formation from the pure elements is -7.350 kcal/mol of atoms. The symmetry is I4/mmm. The value obtained for the magnetic moment is 2.45 μB per formula unit.

No. 18
Ce4PrGe4 | PBE-GGA | relaxed

```
18
Lattice="8.967 0.000 0.000 0.000 8.967 0.000 0.000 0.000 6.120" Properties=species:S:1:pos:R:3 pbc="T T T"
Ce 0.512 5.698 0.564
Ce 1.215 8.455 3.624
Ce 3.269 4.995 3.624
Ce 3.972 7.752 0.564
Ce 4.995 1.215 5.556
Ce 5.698 3.972 2.496
Ce 7.752 0.512 2.496
Ce 8.455 3.269 5.556
Pr 2.242 2.242 1.530
Pr 6.725 6.725 4.590
Ge 0.325 5.594 3.641
Ge 1.111 8.642 0.580
Ge 3.373 4.809 0.580
Ge 4.158 7.856 3.641
Ge 4.809 1.111 2.480
Ge 5.594 4.158 5.540
Ge 7.856 0.325 5.540
Ge 8.642 3.373 2.480
```

Computed properties:
The energy of formation from the pure elements is -10.639 kcal/mol of atoms. The symmetry is P4_2/n. The value obtained for the magnetic moment is 3.49 μB per formula unit.

No. 19
Ce2PrGe2 | PBE-GGA | relaxed

```
10
Lattice="7.884 0.000 0.000 0.000 7.884 0.000 0.000 0.000 4.225" Properties=species:S:1:pos:R:3 pbc="T T T"
Ce 1.374 2.568 0.000
Ce 2.568 6.510 0.000
Ce 5.316 1.374 0.000
Ce 6.510 5.316 0.000
Pr 0.000 0.000 2.112
Pr 3.942 3.942 2.112
Ge 0.957 4.899 2.112
Ge 2.985 0.957 2.112
Ge 4.899 6.928 2.112
Ge 6.928 2.985 2.112
```

Computed properties:
The calculation puts the energy relative to the lowest polymorph listed for this composition at 0 meV per atom. The energy of formation from the pure elements is -14.807 kcal/mol of atoms. The symmetry is P4/mbm. The value obtained for the magnetic moment is 1.50 μB per formula unit.

No. 20
CePr4Ge4 | PBE-GGA | relaxed

```
18
Lattice="9.271 0.000 0.000 0.000 9.271 0.000 0.000 0.000 6.114" Properties=species:S:1:pos:R:3 pbc="T T T"
Ce 2.318 2.318 1.528
Ce 6.953 6.953 4.585
Pr 0.449 6.215 0.769
Pr 1.579 8.822 3.826
Pr 3.056 5.085 3.826
Pr 4.186 7.692 0.769
Pr 5.085 1.579 5.344
Pr 6.215 4.186 2.288
Pr 7.692 0.449 2.288
Pr 8.822 3.056 5.344
Ge 0.175 5.824 3.771
Ge 1.189 9.096 0.714
Ge 3.447 4.811 0.714
Ge 4.460 8.082 3.771
Ge 4.811 1.189 2.343
Ge 5.824 4.460 5.400
Ge 8.082 0.175 5.400
Ge 9.096 3.447 2.343
```

Computed properties:
The energy of formation from the pure elements is -12.288 kcal/mol of atoms. The symmetry is P4_2/n. The value obtained for the magnetic moment is 1.15 μB per formula unit.

No. 21
Ce3PrGe2 | PBE-GGA | relaxed

```
12
Lattice="8.781 -2.077 0.000 8.781 2.077 0.000 -3.176 0.000 8.501" Properties=species:S:1:pos:R:3 pbc="T T T"
Ce 0.879 0.000 1.054
Ce 3.421 0.000 4.910
Ce 6.220 0.000 0.052
Ce 8.167 0.000 8.449
Ce 10.965 0.000 3.591
Ce 13.508 0.000 7.447
Pr -0.269 0.000 5.327
Pr 14.656 0.000 3.174
Ge 3.825 0.000 1.930
Ge 6.263 0.000 5.861
Ge 8.124 0.000 2.640
Ge 10.562 0.000 6.571
```

Computed properties:
The energy of formation from the pure elements is -11.579 kcal/mol of atoms. The symmetry is C2/m. The value obtained for the magnetic moment is 1.17 μB per formula unit.

No. 22
CePr2Ge2 | PBE-GGA | relaxed

```
10
Lattice="2.191 -5.801 0.000 2.191 5.801 0.000 0.000 0.000 11.400" Properties=species:S:1:pos:R:3 pbc="T T T"
Ce 2.191 4.017 5.700
Ce 2.191 -4.017 0.000
Pr 2.191 3.929 9.720
Pr 2.191 0.780 7.628
Pr 2.191 -0.780 1.928
Pr 2.191 -3.929 4.020
Ge 2.191 2.752 1.916
Ge 2.191 0.056 10.485
Ge 2.191 -0.056 4.785
Ge 2.191 -2.752 7.616
```

Computed properties:
The energy of formation from the pure elements is -13.548 kcal/mol of atoms. The symmetry is Cmc2_1. The value obtained for the magnetic moment is 1.47 μB per formula unit.

No. 23
Ce3Pr2Ge4 | PBE-GGA | relaxed

```
18
Lattice="8.081 0.000 0.000 0.000 7.998 0.000 -2.996 0.000 7.299" Properties=species:S:1:pos:R:3 pbc="T T T"
Ce 0.000 0.000 0.000
Ce -1.498 3.999 3.649
Ce -0.221 1.320 5.715
Ce 1.277 2.679 2.065
Ce 3.808 5.320 5.233
Ce 5.306 6.678 1.584
Pr -0.389 5.444 6.814
Pr 1.109 6.554 3.165
Pr 3.977 1.445 4.133
Pr 5.475 2.555 0.484
Ge -0.342 5.003 0.887
Ge -1.840 6.995 4.536
Ge 2.818 0.294 1.285
Ge 1.320 3.705 4.934
Ge 3.766 4.293 2.365
Ge 2.268 7.704 6.014
Ge 6.925 1.004 2.762
Ge 5.427 2.996 6.412
```

Computed properties:
The calculation puts the energy relative to the lowest polymorph listed for this composition at 0 meV per atom. The energy of formation from the pure elements is -17.274 kcal/mol of atoms. The symmetry is P2_1/c. The value obtained for the magnetic moment is 1.97 μB per formula unit.